[1]
DFT (PBE) results for a geometry-optimized Ta2ReAu structure.

a = 4.2376 Å, b = 4.2371 Å, c = 3.7859 Å
α = 90.00°, β = 90.00°, γ = 90.00°
Positions (direct):
Au 0.5000 0.0000 0.5000
Re 0.0000 0.5000 0.5000
Ta 0.0000 0.0000 0.0000
Ta 0.5000 0.5000 0.0000

Distance to the lowest polymorph of the same formula in meV per atom: 77

=====

[2]
DFT (PBE) results for a geometry-optimized TaRe4Au structure.

a = 5.2011 Å, b = 5.2011 Å, c = 5.2011 Å
α = 60.00°, β = 60.00°, γ = 60.00°
Positions (direct):
Ta 0.2500 0.2500 0.2500
Re 0.6259 0.6259 0.1223
Re 0.6259 0.1223 0.6259
Re 0.6259 0.6259 0.6259
Re 0.1223 0.6259 0.6259
Au 0.0000 0.0000 0.0000

=====

| no. | formation energy (eV/atom) |
| --- | --- |
| 1 | -0.030 |
| 2 | 0.222 |